A geometry-optimized Pr2Dy6Mg structure, computed with PBE-GGA.

Cell lengths 10.623, 10.623, 5.050 Å; angles 90.00, 90.00, 90.00 degrees
Element x y z (fractional)
Pr  0.164  0.164  0.000
Pr  0.336  0.664  0.500
Pr  0.664  0.336  0.500
Pr  0.836  0.836  0.000
Dy  0.001  0.666  0.500
Dy  0.166  0.499  0.000
Dy  0.168  0.832  0.000
Dy  0.332  0.332  0.500
Dy  0.334  0.999  0.500
Dy  0.499  0.166  0.000
Dy  0.501  0.834  0.000
Dy  0.666  0.001  0.500
Dy  0.668  0.668  0.500
Dy  0.832  0.168  0.000
Dy  0.834  0.501  0.000
Dy  0.999  0.334  0.500
Mg  0.000  0.000  0.500
Mg  0.500  0.500  0.000

Calculated values
N(E_F) = 25.4 states/eV per cell
crystal system = tetragonal
offset from the most stable computed form = 0 meV/atom
E_tot = -77.1 eV/cell
DFT formation energy = 0.219 eV/f.u.